Here is SrMg2In3 after structural relaxation from Alexandria via LeMat-Bulk. Energies are from PBE.

Calculated values
The value obtained for the total energy is -28.62 eV/cell.

```
data_SrMg2In3
_chemical_formula_sum 'Sr2 Mg4 In6'
_space_group_name_H-M_alt 'P 63/m m c'
_space_group_IT_number 194
_space_group_name_Hall '-P 6c 2c'
_cell_length_a 5.2259
_cell_length_b 5.2259
_cell_length_c 13.8106
_cell_angle_alpha 90.00
_cell_angle_beta 90.00
_cell_angle_gamma 120.00
loop_
_atom_site_label
_atom_site_fract_x
_atom_site_fract_y
_atom_site_fract_z
Sr1 0.0000 0.0000 0.2500
Mg1 0.3333 0.6667 0.0914
In1 0.0000 0.0000 0.0000
In2 0.3333 0.6667 0.6361
```